Record 1
CeMg2 (SCAN, single point on PBEsol structure); energy relative to the elements = -0.020 eV/atom; crystal system = hexagonal; SG = P6_3/mmc, No. 194
1.0
6.210 0.000 0.000
-3.105 5.378 0.000
0.000 0.000 9.071
Ce Mg
4 8
Direct
0.333 0.667 0.101
0.333 0.667 0.399
0.667 0.333 0.601
0.667 0.333 0.899
0.000 0.000 0.000
0.000 0.000 0.500
0.174 0.348 0.750
0.174 0.826 0.750
0.348 0.174 0.250
0.652 0.826 0.750
0.826 0.174 0.250
0.826 0.652 0.250

---

Record 2
CeMg2 (SCAN, single point on PBEsol structure); energy relative to the elements = -0.025 eV/atom; crystal system = monoclinic; SG = C2/m, No. 12
1.0
12.839 0.000 0.000
0.000 3.067 0.000
-1.637 0.000 7.358
Ce Mg
4 8
Direct
0.018 0.000 0.335
0.482 0.500 0.665
0.518 0.500 0.335
0.982 0.000 0.665
0.141 0.500 0.024
0.212 0.500 0.654
0.288 0.000 0.346
0.359 0.000 0.976
0.641 0.000 0.024
0.712 0.000 0.654
0.788 0.500 0.346
0.859 0.500 0.976

---

Record 3
Ce2Mg (SCAN, single point on PBEsol structure); energy relative to the elements = 0.050 eV/atom; crystal system = orthorhombic; SG = Cmcm, No. 63; E above lowest polymorph = 39.7 meV per atom
1.0
3.082 0.000 0.000
0.000 17.602 0.000
0.000 0.000 5.174
Ce Mg
8 4
Direct
0.000 0.074 0.250
0.000 0.412 0.250
0.000 0.588 0.750
0.000 0.926 0.750
0.500 0.088 0.750
0.500 0.426 0.750
0.500 0.574 0.250
0.500 0.912 0.250
0.000 0.259 0.750
0.000 0.741 0.250
0.500 0.241 0.250
0.500 0.759 0.750

---

Record 4
CeMg2 (SCAN, single point on PBEsol structure); energy relative to the elements = -0.028 eV/atom; crystal system = hexagonal; SG = P-6m2, No. 187
1.0
3.076 0.000 0.000
-1.538 2.663 0.000
0.000 0.000 17.011
Ce Mg
2 4
Direct
0.000 0.000 0.175
0.000 0.000 0.825
0.000 0.000 0.500
0.333 0.667 0.000
0.333 0.667 0.345
0.333 0.667 0.655

---

Record 5
CeMg2 (SCAN, single point on PBEsol structure); energy relative to the elements = 0.003 eV/atom; crystal system = monoclinic; SG = Cm, No. 8
1.0
12.615 0.000 0.000
0.000 3.105 0.000
-2.374 0.000 7.433
Ce Mg
4 8
Direct
0.000 0.000 0.000
0.136 0.500 0.273
0.500 0.500 0.000
0.636 0.000 0.273
0.040 0.000 0.589
0.219 0.500 0.908
0.319 0.000 0.633
0.371 0.000 0.261
0.540 0.500 0.589
0.719 0.000 0.908
0.819 0.500 0.633
0.871 0.500 0.261

---

Record 6
CeMg2 (SCAN, single point on PBEsol structure); energy relative to the elements = 0.032 eV/atom; crystal system = orthorhombic; SG = Amm2, No. 38
1.0
5.592 0.000 0.000
0.000 3.147 0.000
0.000 0.000 16.597
Ce Mg
4 8
Direct
0.000 0.000 0.000
0.000 0.000 0.362
0.000 0.500 0.500
0.000 0.500 0.862
0.000 0.000 0.681
0.000 0.500 0.181
0.500 0.000 0.236
0.500 0.000 0.569
0.500 0.000 0.904
0.500 0.500 0.069
0.500 0.500 0.404
0.500 0.500 0.736

---

Record 7
Ce2Mg (SCAN, single point on PBEsol structure); energy relative to the elements = 0.048 eV/atom; crystal system = orthorhombic; SG = Amm2, No. 38; E above lowest polymorph = 37.5 meV per atom
1.0
5.617 0.000 0.000
0.000 3.137 0.000
0.000 0.000 16.362
Ce Mg
8 4
Direct
0.000 0.000 0.000
0.000 0.000 0.324
0.000 0.000 0.667
0.000 0.500 0.167
0.000 0.500 0.500
0.000 0.500 0.824
0.500 0.000 0.476
0.500 0.500 0.976
0.500 0.000 0.146
0.500 0.000 0.797
0.500 0.500 0.297
0.500 0.500 0.646

---

Record 8
Ce3Mg (SCAN, single point on PBEsol structure); energy relative to the elements = 0.067 eV/atom; crystal system = orthorhombic; SG = Pmm2, No. 25
1.0
3.171 0.000 0.000
0.000 5.472 0.000
0.000 0.000 5.616
Ce Mg
3 1
Direct
0.000 0.000 0.000
0.000 0.500 0.452
0.500 0.000 0.537
0.500 0.500 0.942

---

Record 9
Ce2Mg (SCAN, single point on PBEsol structure); energy relative to the elements = 0.042 eV/atom; crystal system = hexagonal; SG = P6_3/mmc, No. 194; E above lowest polymorph = 31.9 meV per atom
1.0
3.028 0.000 0.000
-1.514 2.623 0.000
0.000 0.000 17.714
Ce Mg
4 2
Direct
0.333 0.667 0.084
0.333 0.667 0.416
0.667 0.333 0.584
0.667 0.333 0.916
0.333 0.667 0.750
0.667 0.333 0.250

---

Record 10
Ce3Mg (SCAN, single point on PBEsol structure); energy relative to the elements = 0.059 eV/atom; crystal system = hexagonal; SG = P-6m2, No. 187
1.0
3.034 0.000 0.000
-1.517 2.628 0.000
0.000 0.000 11.830
Ce Mg
3 1
Direct
0.000 0.000 0.000
0.667 0.333 0.251
0.667 0.333 0.749
0.000 0.000 0.500

---

Record 11
Ce3Mg (SCAN, single point on PBEsol structure); energy relative to the elements = 0.063 eV/atom; crystal system = tetragonal; SG = I4/mmm, No. 139
1.0
4.610 0.000 0.000
0.000 4.610 0.000
0.000 0.000 9.357
Ce Mg
6 2
Direct
0.000 0.000 0.000
0.000 0.500 0.250
0.000 0.500 0.750
0.500 0.000 0.250
0.500 0.000 0.750
0.500 0.500 0.500
0.000 0.000 0.500
0.500 0.500 0.000

---

Record 12
Ce2Mg (SCAN, single point on PBEsol structure); energy relative to the elements = 0.017 eV/atom; crystal system = monoclinic; SG = C2/c, No. 15; E above lowest polymorph = 6.9 meV per atom
1.0
9.410 0.000 0.000
0.000 6.134 0.000
-2.986 0.000 5.171
Ce Mg
8 4
Direct
0.149 0.096 0.274
0.149 0.904 0.774
0.351 0.404 0.726
0.351 0.596 0.226
0.649 0.404 0.774
0.649 0.596 0.274
0.851 0.096 0.226
0.851 0.904 0.726
0.000 0.401 0.750
0.000 0.599 0.250
0.500 0.099 0.250
0.500 0.901 0.750

---

Record 13
CeMg2 (SCAN, single point on PBEsol structure); energy relative to the elements = 0.009 eV/atom; crystal system = trigonal; SG = P-3m1, No. 164
1.0
3.105 0.000 0.000
-1.553 2.689 0.000
0.000 0.000 16.587
Ce Mg
2 4
Direct
0.333 0.667 0.411
0.667 0.333 0.589
0.333 0.667 0.079
0.333 0.667 0.763
0.667 0.333 0.237
0.667 0.333 0.921

---

Record 14
NaCeMg30O32 (SCAN, single point on PBEsol structure); uncorrected formation energy = -189.01 eV per formula unit; crystal system = tetragonal; SG = P4/mmm, No. 123
1.0
8.548 0.000 0.000
0.000 8.548 0.000
0.000 0.000 8.547
Na Ce Mg O
1 1 30 32
Direct
0.000 0.000 0.000
0.500 0.500 0.000
0.000 0.000 0.500
0.000 0.247 0.250
0.000 0.247 0.750
0.000 0.500 0.000
0.000 0.500 0.500
0.000 0.753 0.250
0.000 0.753 0.750
0.240 0.240 0.000
0.240 0.760 0.000
0.241 0.500 0.257
0.241 0.500 0.743
0.247 0.000 0.250
0.247 0.000 0.750
0.248 0.248 0.500
0.248 0.752 0.500
0.500 0.000 0.000
0.500 0.000 0.500
0.500 0.241 0.257
0.500 0.241 0.743
0.500 0.500 0.500
0.500 0.759 0.257
0.500 0.759 0.743
0.752 0.248 0.500
0.752 0.752 0.500
0.753 0.000 0.250
0.753 0.000 0.750
0.759 0.500 0.257
0.759 0.500 0.743
0.760 0.240 0.000
0.760 0.760 0.000
0.000 0.000 0.263
0.000 0.000 0.737
0.000 0.252 0.500
0.000 0.261 0.000
0.000 0.500 0.255
0.000 0.500 0.745
0.000 0.739 0.000
0.000 0.748 0.500
0.237 0.500 0.000
0.249 0.500 0.500
0.251 0.251 0.250
0.251 0.251 0.750
0.251 0.749 0.250
0.251 0.749 0.750
0.252 0.000 0.500
0.261 0.000 0.000
0.500 0.000 0.255
0.500 0.000 0.745
0.500 0.237 0.000
0.500 0.249 0.500
0.500 0.500 0.265
0.500 0.500 0.735
0.500 0.751 0.500
0.500 0.763 0.000
0.739 0.000 0.000
0.748 0.000 0.500
0.749 0.251 0.250
0.749 0.251 0.750
0.749 0.749 0.250
0.749 0.749 0.750
0.751 0.500 0.500
0.763 0.500 0.000

---

Record 15
CeMgNi4 (SCAN, single point on PBEsol structure); energy relative to the elements = -0.366 eV/atom; crystal system = cubic; SG = F-43m, No. 216
1.0
0.000 3.453 3.453
3.453 0.000 3.453
3.453 3.453 0.000
Ce Mg Ni
1 1 4
Direct
0.000 0.000 0.000
0.250 0.250 0.250
0.128 0.624 0.624
0.624 0.128 0.624
0.624 0.624 0.128
0.624 0.624 0.624

---

Record 16
Ce2MgPb (SCAN, single point on PBEsol structure); energy relative to the elements = -0.323 eV/atom; crystal system = cubic; SG = Fm-3m, No. 225
1.0
7.629 0.000 0.000
0.000 7.629 0.000
0.000 0.000 7.629
Ce Mg Pb
8 4 4
Direct
0.250 0.250 0.250
0.250 0.250 0.750
0.250 0.750 0.250
0.250 0.750 0.750
0.750 0.250 0.250
0.750 0.250 0.750
0.750 0.750 0.250
0.750 0.750 0.750
0.000 0.000 0.000
0.000 0.500 0.500
0.500 0.000 0.500
0.500 0.500 0.000
0.000 0.000 0.500
0.000 0.500 0.000
0.500 0.000 0.000
0.500 0.500 0.500

---

Record 17
CeMgPd (SCAN, single point on PBEsol structure); energy relative to the elements = -0.630 eV/atom; crystal system = hexagonal; SG = P-62m, No. 189
1.0
7.463 0.000 0.000
-3.732 6.463 0.000
0.000 0.000 4.043
Ce Mg Pd
3 3 3
Direct
0.000 0.417 0.000
0.417 0.000 0.000
0.583 0.583 0.000
0.000 0.760 0.500
0.240 0.240 0.500
0.760 0.000 0.500
0.000 0.000 0.000
0.333 0.667 0.500
0.667 0.333 0.500

---

Record 18
CePmMg2 (SCAN, single point on PBEsol structure); energy relative to the elements = -0.025 eV/atom; crystal system = cubic; SG = Fm-3m, No. 225
1.0
7.591 0.000 0.000
0.000 7.591 0.000
0.000 0.000 7.591
Ce Pm Mg
4 4 8
Direct
0.000 0.000 0.000
0.000 0.500 0.500
0.500 0.000 0.500
0.500 0.500 0.000
0.000 0.000 0.500
0.000 0.500 0.000
0.500 0.000 0.000
0.500 0.500 0.500
0.250 0.250 0.250
0.250 0.250 0.750
0.250 0.750 0.250
0.250 0.750 0.750
0.750 0.250 0.250
0.750 0.250 0.750
0.750 0.750 0.250
0.750 0.750 0.750

---

Record 19
CeMgPt (SCAN, single point on PBEsol structure); energy relative to the elements = -1.011 eV/atom; crystal system = hexagonal; SG = P-62m, No. 189
1.0
7.400 0.000 0.000
-3.700 6.408 0.000
0.000 0.000 4.043
Ce Mg Pt
3 3 3
Direct
0.000 0.416 0.000
0.416 0.000 0.000
0.584 0.584 0.000
0.000 0.759 0.500
0.241 0.241 0.500
0.759 0.000 0.500
0.000 0.000 0.000
0.333 0.667 0.500
0.667 0.333 0.500

---

Record 20
CeMgRh (SCAN, single point on PBEsol structure); energy relative to the elements = -0.630 eV/atom; crystal system = hexagonal; SG = P-62m, No. 189
1.0
7.262 0.000 0.000
-3.631 6.289 0.000
0.000 0.000 4.033
Ce Mg Rh
3 3 3
Direct
0.000 0.418 0.000
0.418 0.000 0.000
0.582 0.582 0.000
0.000 0.761 0.500
0.239 0.239 0.500
0.761 0.000 0.500
0.000 0.000 0.000
0.333 0.667 0.500
0.667 0.333 0.500

---

Record 21
CeTmMg2 (SCAN, single point on PBEsol structure); energy relative to the elements = -0.008 eV/atom; crystal system = cubic; SG = Fm-3m, No. 225
1.0
7.466 0.000 0.000
0.000 7.466 0.000
0.000 0.000 7.466
Ce Tm Mg
4 4 8
Direct
0.000 0.000 0.000
0.000 0.500 0.500
0.500 0.000 0.500
0.500 0.500 0.000
0.000 0.000 0.500
0.000 0.500 0.000
0.500 0.000 0.000
0.500 0.500 0.500
0.250 0.250 0.250
0.250 0.250 0.750
0.250 0.750 0.250
0.250 0.750 0.750
0.750 0.250 0.250
0.750 0.250 0.750
0.750 0.750 0.250
0.750 0.750 0.750

---

Record 22
CeY4Mg5 (SCAN, single point on PBEsol structure); energy relative to the elements = -0.089 eV/atom; crystal system = tetragonal; SG = P4/mmm, No. 123
1.0
3.752 0.000 0.000
0.000 3.752 0.000
0.000 0.000 18.869
Ce Y Mg
1 4 5
Direct
0.000 0.000 0.000
0.000 0.000 0.201
0.000 0.000 0.401
0.000 0.000 0.599
0.000 0.000 0.799
0.500 0.500 0.103
0.500 0.500 0.301
0.500 0.500 0.500
0.500 0.500 0.699
0.500 0.500 0.897

---

Record 23
Ce2MnN3 (SCAN, single point on PBEsol structure); uncorrected formation energy = -8.99 eV per formula unit; crystal system = orthorhombic; SG = Immm, No. 71
1.0
3.431 0.000 0.000
0.000 3.639 0.000
0.000 0.000 12.368
Ce Mn N
4 2 6
Direct
0.000 0.000 0.146
0.000 0.000 0.854
0.500 0.500 0.354
0.500 0.500 0.646
0.000 0.000 0.500
0.500 0.500 0.000
0.000 0.000 0.336
0.000 0.000 0.664
0.000 0.500 0.500
0.500 0.000 0.000
0.500 0.500 0.164
0.500 0.500 0.836

---

Number 1: E -18.1905 eV/atom, total magnetization 4.64 μB per cell. Number 2: E -18.1958 eV/atom, total magnetization 4.09 μB per cell. Number 3: E -31.3170 eV/atom, total magnetization 0.08 μB per cell. Number 4: E -18.1988 eV/atom, total magnetization 0.17 μB per cell. Number 5: E -18.1675 eV/atom, total magnetization 2.57 μB per cell. Number 6: E -18.1387 eV/atom, total magnetization 1.72 μB per cell. Number 7: E -31.3192 eV/atom, total magnetization 2.51 μB per cell. Number 8: E -34.5996 eV/atom, total magnetization 0.35 μB per cell. Number 9: E -31.3248 eV/atom, total magnetization 0.00 μB per cell. Number 10: E -34.6071 eV/atom, total magnetization 0.00 μB per cell. Number 11: E -34.6030 eV/atom, total magnetization 6.27 μB per cell. Number 12: E -31.3498 eV/atom, total magnetization 5.20 μB per cell. Number 13: E -18.1615 eV/atom, total magnetization 0.03 μB per cell. Number 14: E -9.1625 eV/atom, total magnetization 1.00 μB per cell. Number 15: E -19.4048 eV/atom, total magnetization 0.00 μB per cell. Number 16: E -42.7936 eV/atom, total magnetization 9.99 μB per cell. Number 17: E -28.0678 eV/atom, total magnetization 3.19 μB per cell. Number 18: E -24.6492 eV/atom, total magnetization 4.52 μB per cell. Number 19: E -40.9209 eV/atom, total magnetization 2.82 μB per cell. Number 20: E -28.3994 eV/atom, total magnetization 2.79 μB per cell. Number 21: E -26.5938 eV/atom, total magnetization 4.04 μB per cell. Number 22: E -18.1696 eV/atom, total magnetization 1.12 μB per cell. Number 23: E -24.0409 eV/atom, total magnetization 4.67 μB per cell.